# 1
Compound: Y3MgPd3
Source: Alexandria
Functional: PBE-GGA
Structure: optimized geometry

a b c (Å): 4.209 5.672 14.190
angles (deg): 90.00 90.00 111.78
Fractional positions:
Pd: 0.257 0.515 0.250
Pd: 0.906 0.813 0.593
Pd: 0.094 0.187 0.093
Pd: 0.743 0.485 0.750
Pd: 0.906 0.813 0.907
Pd: 0.094 0.187 0.407
Mg: 0.500 0.000 0.500
Mg: 0.500 0.000 0.000
Y: 0.468 0.936 0.750
Y: 0.804 0.608 0.107
Y: 0.196 0.392 0.893
Y: 0.196 0.392 0.607
Y: 0.532 0.064 0.250
Y: 0.804 0.608 0.393

Results
Energy: -0.4410 Ry/atom
Calculated volume: 315 Å³/cell
Energy of formation from the pure elements: -0.777 eV/atom


# 2
Compound: Y5MgPd
Source: Alexandria
Functional: PBE-GGA
Structure: optimized geometry

a b c (Å): 5.865 5.865 12.230
angles (deg): 79.23 79.23 82.56
Fractional positions:
Mg: 0.383 0.617 0.250
Mg: 0.617 0.383 0.750
Y: 0.979 0.021 0.250
Y: 0.479 0.793 0.924
Y: 0.021 0.979 0.750
Y: 0.793 0.479 0.424
Y: 0.207 0.521 0.576
Y: 0.915 0.579 0.123
Y: 0.579 0.915 0.623
Y: 0.085 0.421 0.877
Y: 0.421 0.085 0.377
Y: 0.521 0.207 0.076
Pd: 0.000 0.000 0.000
Pd: 0.000 0.000 0.500

Results
Energy: -0.4213 Ry/atom
Calculated volume: 404 Å³/cell
Energy of formation from the pure elements: -0.145 eV/atom


# 3
Compound: YMg9Pd2
Source: Alexandria
Functional: PBE-GGA
Structure: optimized geometry

a b c (Å): 7.522 9.077 9.077
angles (deg): 80.11 65.52 65.52
Fractional positions:
Mg: 0.682 0.182 0.575
Mg: 0.743 0.818 0.575
Mg: 0.000 0.000 0.000
Mg: 0.007 0.925 0.682
Mg: 0.068 0.925 0.318
Mg: 0.614 0.075 0.318
Mg: 0.614 0.318 0.075
Mg: 0.439 0.425 0.818
Mg: 0.439 0.818 0.425
Mg: 0.311 0.075 0.682
Mg: 0.007 0.682 0.925
Mg: 0.750 0.500 0.500
Mg: 0.682 0.575 0.182
Mg: 0.136 0.425 0.182
Mg: 0.311 0.682 0.075
Mg: 0.068 0.318 0.925
Mg: 0.743 0.575 0.818
Mg: 0.136 0.182 0.425
Pd: 0.875 0.250 0.250
Pd: 0.875 0.750 0.250
Pd: 0.375 0.750 0.750
Pd: 0.875 0.250 0.750
Y: 0.250 0.500 0.500
Y: 0.500 0.000 0.000

Results
Energy: -0.2109 Ry/atom
Calculated volume: 513 Å³/cell
Energy of formation from the pure elements: -0.269 eV/atom


# 4
Compound: Y3Mg9Pd2
Source: Alexandria
Functional: PBE-GGA
Structure: optimized geometry

a b c (Å): 4.894 8.521 8.521
angles (deg): 79.05 73.31 73.31
Fractional positions:
Mg: 0.368 0.268 0.996
Mg: 0.131 0.590 0.148
Mg: 0.632 0.732 0.004
Mg: 0.869 0.410 0.852
Mg: 0.632 0.004 0.732
Mg: 0.869 0.852 0.410
Mg: 0.000 0.500 0.500
Mg: 0.368 0.996 0.268
Mg: 0.131 0.148 0.590
Pd: 0.500 0.652 0.348
Pd: 0.500 0.348 0.652
Y: 0.702 0.298 0.298
Y: 0.298 0.702 0.702
Y: 0.000 0.000 0.000

Results
Energy: -0.2499 Ry/atom
Calculated volume: 324 Å³/cell
Energy of formation from the pure elements: -0.249 eV/atom


# 5
Compound: Y3Mg2Pd6
Source: Alexandria
Functional: PBE-GGA
Structure: optimized geometry

a b c (Å): 8.335 8.335 8.335
angles (deg): 109.47 109.47 109.47
Fractional positions:
Pd: 0.674 0.337 0.337
Pd: 0.337 0.663 0.000
Pd: 0.337 0.337 0.674
Pd: 0.326 0.663 0.663
Pd: 0.663 0.663 0.326
Pd: 0.663 0.326 0.663
Pd: 0.000 0.663 0.337
Pd: 0.663 0.000 0.337
Pd: 0.000 0.337 0.663
Pd: 0.663 0.337 0.000
Pd: 0.337 0.674 0.337
Pd: 0.337 0.000 0.663
Mg: 0.000 0.500 0.000
Mg: 0.000 0.000 0.500
Mg: 0.500 0.500 0.500
Mg: 0.500 0.000 0.000
Y: 0.302 0.302 0.000
Y: 0.698 0.698 0.000
Y: 0.000 0.302 0.302
Y: 0.302 0.000 0.302
Y: 0.000 0.698 0.698
Y: 0.698 0.000 0.698

Results
Energy: -0.4168 Ry/atom
Calculated volume: 446 Å³/cell
Energy of formation from the pure elements: -0.786 eV/atom


# 6
Compound: YMg2Pd8
Source: Alexandria
Functional: PBE-GGA
Structure: optimized geometry

a b c (Å): 4.120 6.402 7.488
angles (deg): 105.87 105.97 90.00
Fractional positions:
Pd: 0.144 0.197 0.288
Pd: 0.317 0.084 0.634
Pd: 0.403 0.532 0.807
Pd: 0.683 0.916 0.366
Pd: 0.856 0.803 0.712
Pd: 0.043 0.720 0.086
Pd: 0.957 0.280 0.914
Pd: 0.597 0.468 0.193
Y: 0.500 0.000 0.000
Mg: 0.223 0.654 0.447
Mg: 0.777 0.346 0.553

Results
Energy: -0.3862 Ry/atom
Calculated volume: 182 Å³/cell
Energy of formation from the pure elements: -0.601 eV/atom


# 7
Compound: YMgZn2Pd4
Source: Alexandria
Functional: PBE-GGA
Structure: optimized geometry

a b c (Å): 4.474 4.474 8.180
angles (deg): 74.13 74.13 60.00
Fractional positions:
Pd: 0.874 0.874 0.379
Pd: 0.126 0.126 0.621
Pd: 0.611 0.611 0.167
Pd: 0.389 0.389 0.833
Zn: 0.755 0.755 0.736
Zn: 0.245 0.245 0.264
Y: 0.000 0.000 0.000
Mg: 0.500 0.500 0.500

Results
Energy: -0.3380 Ry/atom
Calculated volume: 135 Å³/cell
Energy of formation from the pure elements: -0.677 eV/atom


# 8
Compound: Yb4MgPd
Source: Alexandria
Functional: PBE-GGA
Structure: optimized geometry

a b c (Å): 9.984 9.984 9.984
angles (deg): 60.00 60.00 60.00
Fractional positions:
Mg: 0.988 0.671 0.671
Mg: 0.671 0.988 0.671
Mg: 0.671 0.671 0.988
Mg: 0.671 0.671 0.671
Yb: 0.308 0.308 0.692
Yb: 0.443 0.443 0.057
Yb: 0.692 0.692 0.308
Yb: 0.308 0.692 0.692
Yb: 0.692 0.308 0.692
Yb: 0.443 0.057 0.443
Yb: 0.292 0.903 0.903
Yb: 0.308 0.692 0.308
Yb: 0.057 0.443 0.443
Yb: 0.692 0.308 0.308
Yb: 0.057 0.057 0.443
Yb: 0.903 0.903 0.903
Yb: 0.443 0.057 0.057
Yb: 0.057 0.443 0.057
Yb: 0.903 0.903 0.292
Yb: 0.903 0.292 0.903
Pd: 0.110 0.110 0.110
Pd: 0.671 0.110 0.110
Pd: 0.110 0.671 0.110
Pd: 0.110 0.110 0.671

Results
Energy: -0.1897 Ry/atom
Calculated volume: 704 Å³/cell
Energy of formation from the pure elements: -0.433 eV/atom


# 9
Compound: MgZnPd
Source: Alexandria
Functional: PBE-GGA
Structure: optimized geometry

a b c (Å): 3.222 3.222 5.159
angles (deg): 108.19 108.19 90.00
Fractional positions:
Mg: 0.611 0.611 0.222
Pd: 0.943 0.943 0.886
Zn: 0.296 0.296 0.592

Results
Energy: -0.2329 Ry/atom
Calculated volume: 48 Å³/cell
Energy of formation from the pure elements: -0.482 eV/atom


# 10
Compound: MgZn2Pd2
Source: Alexandria
Functional: PBE-GGA
Structure: optimized geometry

a b c (Å): 4.061 5.090 9.987
angles (deg): 53.86 78.27 66.49
Fractional positions:
Pd: 0.648 0.142 0.062
Pd: 0.352 0.858 0.938
Pd: 0.148 0.642 0.562
Pd: 0.852 0.358 0.438
Mg: 0.250 0.750 0.250
Mg: 0.750 0.250 0.750
Zn: 0.942 0.478 0.138
Zn: 0.442 0.978 0.638
Zn: 0.558 0.022 0.362
Zn: 0.058 0.522 0.862

Results
Energy: -0.2510 Ry/atom
Calculated volume: 153 Å³/cell
Energy of formation from the pure elements: -0.509 eV/atom


# 11
Compound: Mg4ZnPd2
Source: Alexandria
Functional: PBE-GGA
Structure: optimized geometry

a b c (Å): 4.613 4.613 6.104
angles (deg): 90.00 90.00 90.00
Fractional positions:
Pd: 0.000 0.000 0.000
Pd: 0.500 0.500 0.500
Mg: 0.500 0.000 0.259
Mg: 0.500 0.000 0.741
Mg: 0.000 0.500 0.741
Mg: 0.000 0.500 0.259
Zn: 0.500 0.500 0.000

Results
Energy: -0.2205 Ry/atom
Calculated volume: 130 Å³/cell
Energy of formation from the pure elements: -0.423 eV/atom


# 12
Compound: Mg7ZnPd2
Source: Alexandria
Functional: PBE-GGA
Structure: optimized geometry

a b c (Å): 4.599 4.599 11.146
angles (deg): 90.00 90.00 120.00
Fractional positions:
Mg: 0.667 0.333 0.587
Mg: 0.000 0.000 0.281
Mg: 0.333 0.667 0.439
Mg: 0.000 0.000 0.726
Mg: 0.667 0.333 0.847
Mg: 0.667 0.333 0.117
Mg: 0.333 0.667 0.958
Zn: 0.000 0.000 0.007
Pd: 0.333 0.667 0.703
Pd: 0.667 0.333 0.353

Results
Energy: -0.1887 Ry/atom
Calculated volume: 204 Å³/cell
Energy of formation from the pure elements: -0.285 eV/atom